# 1
A relaxed K4Pm3TiTe8 crystal, computed with PBE-GGA.

a b c (Å): 8.982 9.747 8.982
angles (deg): 117.44 120.00 90.00
Element x y z (fractional)
Pm  0.500  0.500  0.500
Te  0.261  0.283  0.522
K  0.000  0.000  0.500
Te  0.777  0.296  0.019
K  0.500  0.000  0.500
Te  0.223  0.704  0.447
Ti  0.000  0.500  0.000
Te  0.243  0.296  0.019
K  0.500  0.000  0.000
K  0.000  0.000  0.000
Te  0.777  0.296  0.553
Pm  0.000  0.500  0.500
Te  0.223  0.704  0.981
Te  0.757  0.704  0.981
Te  0.739  0.717  0.478
Pm  0.500  0.500  0.000

Properties
SG: R-3m
Formation energy without anion corrections (eV/atom): -1.24



# 2
A relaxed RbMnI2Cl crystal, computed with PBE-GGA.

a b c (Å): 7.709 7.709 8.352
angles (deg): 117.49 117.49 90.00
Element x y z (fractional)
I  0.685  0.185  0.981
Rb  0.244  0.744  0.487
Mn  0.546  0.546  0.092
Rb  0.744  0.244  0.487
I  0.185  0.297  0.981
I  0.297  0.797  0.981
Cl  0.729  0.729  0.459
Mn  0.046  0.046  0.092
I  0.797  0.685  0.981
Cl  0.229  0.229  0.459

Properties
SG: I4cm
Formation energy without anion corrections (eV/atom): -1.01
Polymorph energy (0 for the lowest one) (meV per atom): 0.0



# 3
A relaxed La7Ge2Pd2 crystal, computed with PBE-GGA.

a b c (Å): 7.015 7.074 7.015
angles (deg): 90.00 107.32 90.00
Element x y z (fractional)
Ge  0.158  0.500  0.158
Pd  0.286  0.000  0.714
La  0.500  0.284  0.500
La  0.500  0.720  0.000
La  0.500  0.716  0.500
Pd  0.714  0.000  0.286
La  0.000  0.280  0.500
La  0.000  0.720  0.500
La  0.500  0.280  0.000
La  0.000  0.000  0.000
Ge  0.842  0.500  0.842

Properties
Calculated total energy (eV/atom): -5.35
SG: Cmmm



# 4
A relaxed SrNi2Cl crystal, computed with PBE-GGA.

a b c (Å): 4.220 4.074 4.791
angles (deg): 89.91 90.00 90.00
Element x y z (fractional)
Sr  0.500  0.250  0.250
Cl  0.500  0.750  0.750
Ni  0.000  0.750  0.008
Ni  0.000  0.750  0.492

Properties
SG: P2/m
Formation energy without anion corrections (eV/atom): -0.17
Polymorph energy (0 for the lowest one) (meV per atom): 192.9